No. 1
Entry from Alexandria via LeMat-Bulk: a geometry-optimized Y4PAuSe2 structure (GGA-PBE).

CIF file:
```
data_Y4PAuSe2
_chemical_formula_sum 'Y4 P1 Au1 Se2'
_cell_length_a 7.1278
_cell_length_b 4.0381
_cell_length_c 7.1637
_cell_angle_alpha 90.00
_cell_angle_beta 108.55
_cell_angle_gamma 90.00
_symmetry_space_group_name_H-M 'P 1 2/m 1'
_symmetry_Int_Tables_number 10
_symmetry_space_group_name_Hall '-P 2y'
loop_
_atom_site_label
_atom_site_type_symbol
_atom_site_fract_x
_atom_site_fract_y
_atom_site_fract_z
Y1 Y 0.2365 0.0000 0.2351
Y2 Y 0.2454 0.5000 0.7581
P1 P 0.0000 0.5000 0.0000
Au1 Au 0.0000 0.0000 0.5000
Se1 Se 0.5000 0.0000 0.0000
Se2 Se 0.5000 0.5000 0.5000
```

Summary:
Raw total energy: -6.6894 eV per atom

No. 2
Entry from Alexandria via LeMat-Bulk: a geometry-optimized Hf3Ti2Sb2 structure (GGA-PBE).

CIF file:
```
data_Hf3Ti2Sb2
_chemical_formula_sum 'Hf6 Ti4 Sb4'
_cell_length_a 14.8472
_cell_length_b 3.1570
_cell_length_c 7.0239
_cell_angle_alpha 90.00
_cell_angle_beta 114.67
_cell_angle_gamma 90.00
_symmetry_space_group_name_H-M 'C 1 2/m 1'
_symmetry_Int_Tables_number 12
_symmetry_space_group_name_Hall '-C 2y'
loop_
_atom_site_label
_atom_site_type_symbol
_atom_site_fract_x
_atom_site_fract_y
_atom_site_fract_z
Hf1 Hf 0.0000 0.0000 0.0000
Hf2 Hf 0.2236 0.0000 0.1624
Ti1 Ti 0.0822 0.0000 0.7162
Sb1 Sb 0.1083 0.5000 0.3905
```

Summary:
Raw total energy: -7.7976 eV per atom

No. 3
Entry from Alexandria via LeMat-Bulk: a geometry-optimized CsHo2CuTe4 structure (GGA-PBE).

CIF file:
```
data_CsHo2CuTe4
_chemical_formula_sum 'Cs4 Ho8 Cu4 Te16'
_cell_length_a 4.4205
_cell_length_b 15.6045
_cell_length_c 15.5382
_cell_angle_alpha 90.00
_cell_angle_beta 90.00
_cell_angle_gamma 90.00
_symmetry_space_group_name_H-M 'C m c m'
_symmetry_Int_Tables_number 63
_symmetry_space_group_name_Hall '-C 2c 2'
loop_
_atom_site_label
_atom_site_type_symbol
_atom_site_fract_x
_atom_site_fract_y
_atom_site_fract_z
Cs1 Cs 0.0000 0.1107 0.2500
Ho1 Ho 0.0000 0.3672 0.0636
Cu1 Cu 0.0000 0.1664 0.7500
Te1 Te 0.0000 0.0000 0.0000
Te2 Te 0.0000 0.2596 0.6069
Te3 Te 0.0000 0.4251 0.2500
```

Summary:
Raw total energy: -4.4561 eV per atom

No. 4
Entry from Alexandria via LeMat-Bulk: a geometry-optimized CsPt3S structure (GGA-PBE).

CIF file:
```
data_CsPt3S
_chemical_formula_sum 'Cs1 Pt3 S1'
_cell_length_a 5.2222
_cell_length_b 5.2222
_cell_length_c 5.2222
_cell_angle_alpha 90.00
_cell_angle_beta 90.00
_cell_angle_gamma 90.00
_symmetry_space_group_name_H-M 'P m -3 m'
_symmetry_Int_Tables_number 221
_symmetry_space_group_name_Hall '-P 4 2 3'
loop_
_atom_site_label
_atom_site_type_symbol
_atom_site_fract_x
_atom_site_fract_y
_atom_site_fract_z
Cs1 Cs 0.0000 0.0000 0.0000
Pt1 Pt 0.0000 0.0000 0.5000
S1 S 0.5000 0.5000 0.5000
```

Summary:
Raw total energy: -2.2625 eV per atom
Excess energy over the best structure of this formula in the dataset: 2036 meV/atom

No. 5
Entry from Alexandria via LeMat-Bulk: a geometry-optimized Sr5Ac3H12 structure (GGA-PBE).

CIF file:
```
data_Sr5Ac3H12
_chemical_formula_sum 'Sr40 Ac24 H96'
_cell_length_a 14.5803
_cell_length_b 14.5803
_cell_length_c 14.5803
_cell_angle_alpha 90.00
_cell_angle_beta 90.00
_cell_angle_gamma 90.00
_symmetry_space_group_name_H-M 'I a -3 d'
_symmetry_Int_Tables_number 230
_symmetry_space_group_name_Hall '-I 4bd 2c 3'
loop_
_atom_site_label
_atom_site_type_symbol
_atom_site_fract_x
_atom_site_fract_y
_atom_site_fract_z
Sr1 Sr 0.0000 0.0000 0.0000
Sr2 Sr 0.0000 0.2500 0.3750
Ac1 Ac 0.0000 0.2500 0.1250
H1 H 0.0054 0.0709 0.6557
```

Summary:
Raw total energy: -3.4124 eV per atom

No. 6
Entry from Alexandria via LeMat-Bulk: a geometry-optimized TaFe2Se structure (GGA-PBE).

CIF file:
```
data_TaFe2Se
_chemical_formula_sum 'Ta4 Fe8 Se4'
_cell_length_a 5.3216
_cell_length_b 5.3216
_cell_length_c 10.7166
_cell_angle_alpha 90.00
_cell_angle_beta 90.00
_cell_angle_gamma 90.00
_symmetry_space_group_name_H-M 'I -4 2 d'
_symmetry_Int_Tables_number 122
_symmetry_space_group_name_Hall 'I -4 2bw'
loop_
_atom_site_label
_atom_site_type_symbol
_atom_site_fract_x
_atom_site_fract_y
_atom_site_fract_z
Ta1 Ta 0.0000 0.0000 0.0000
Fe1 Fe 0.2275 0.2500 0.6250
Se1 Se 0.0000 0.0000 0.5000
```

Summary:
Raw total energy: -7.3720 eV per atom